First-principles (PBE) data for a relaxed LiErNi10 crystal, as listed in Alexandria via LeMat-Bulk.

Computed properties:
Crystal system = orthorhombic
D(E_F) = 16.86 states/eV/f.u.
Calculated formation energy = -0.106 eV per atom
ρ = 8.1 g/cm3
Volume = 156.8 Å³/cell

abc: 3.9693 4.7781 8.2679
angles: 90.00 90.00 90.00
Closest atoms and distances in Å follow each position.
Positions (direct):
1 Er 0.0000 0.0000 0.0000  18 Ni 2.81-3.11
2 Ni 0.0000 0.5000 0.1784  6 Ni 2.40-2.47, 1 Li 2.66
3 Ni 0.0000 0.5000 0.8216  6 Ni 2.40-2.47, 1 Li 2.66
4 Li 0.0000 0.5000 0.5000  6 Ni 2.66-2.73
5 Ni 0.5000 0.0000 0.5000  8 Ni 2.38
6 Ni 0.5000 0.7512 0.2508  8 Ni 2.38-2.43
7 Ni 0.5000 0.2488 0.7492  8 Ni 2.38-2.43
8 Ni 0.0000 0.0000 0.3411  7 Ni 2.38-2.63
9 Ni 0.5000 0.7512 0.7492  8 Ni 2.38-2.43
10 Ni 0.5000 0.2488 0.2508  8 Ni 2.38-2.43
11 Ni 0.0000 0.0000 0.6589  7 Ni 2.38-2.63
12 Ni 0.5000 0.5000 0.0000  8 Ni 2.40-2.47